This record from Alexandria describes a geometry-optimized CuRe2W structure. The functional is GGA-PBE.

a b c (Å): 5.467 7.918 2.731
angles (deg): 90.00 90.00 90.00
Space group Cmmm (No. 65)
Asymmetric unit:
Cu (0.000, 0.000, 0.000) [2 per cell]
Re (0.250, 0.250, 0.500) [4 per cell]
W (0.000, 0.500, 0.000) [2 per cell]

Computed properties:
Magnetic moment (μB/f.u.): 0.0
ρ (g/cm3): 17.41
Energy of formation (eV per atom): 0.325